Material: ScFeO2
Method: DFT, PBE with a Hubbard U
State: optimized geometry

abc: 5.3970 5.3970 5.3970
angles: 90.00 90.00 90.00
Last column: nearest neighbours and their distance in Å.
Space group Fm-3m (No. 225)
One atom of each set of equivalent atoms:
Sc1 0.0000 0.0000 0.0000 [4 per cell]  8 O 2.34
Fe1 0.0000 0.0000 0.5000 [4 per cell]  8 O 2.34
O1 0.2500 0.2500 0.2500 [8 per cell]  4 Fe 2.34, 4 Sc 2.34

For the energy above the most stable polymorph in this dataset, the calculation gives 322.6 meV/atom. For the total magnetization, the calculation gives 12.0 μB per cell. The value obtained for the mass density is 5.6 g/cm³. Its crystal system is cubic.